Mn2VF | PBE with a Hubbard U | relaxed

The structure belongs to space group I-42d (No. 122); the cell edges are 7.1216, 7.1216 and 5.4422 Å and the angles 90.00°, 90.00° and 90.00°. The inequivalent atoms are Mn at (0.1833, 0.2500, 0.1250), V at (0.0000, 0.0000, 0.5000) and F at (0.0000, 0.0000, 0.0000).

Its magnetization is 1.538 μB per atom. As for the density of states at the Fermi level: 6.08 states/eV/cell. As for the total energy: -6.08 eV per atom. The volume comes out at 276 Å³ per cell.